VASP calculation (PBE+U) on a relaxed structure of Rb3CoAg2F9.

Output
N(E_F) ... 3.34 states/eV/cell
Electronic total energy ... -4.0565 eV per atom

Lattice parameters (Å, degrees): 6.1446 6.1446 7.5359 90.00 90.00 120.00
Space group P-3m1 (No. 164)
Asymmetric unit:
Rb 0.0000 0.0000 0.0000
Rb 0.3333 0.6667 0.6773
Co 0.0000 0.0000 0.5000
Ag 0.3333 0.6667 0.1815
F 0.0000 0.5000 0.0000
F 0.1462 0.2924 0.3557